1.
PBE CeTmTcRh, relaxed; ΔE_f = -0.419 eV/atom; final energy = -7.45 eV/atom; magnetization = 0.000 μB per atom
1.0
0.0000 3.4225 3.4225
3.4225 0.0000 3.4225
3.4225 3.4225 0.0000
Ce Tm Tc Rh
1 1 1 1
Cartesian
0.0000 0.0000 0.0000
3.4225 3.4225 3.4225
5.1338 5.1338 5.1338
1.7113 1.7113 1.7113

---

2.
PBE CeUTcRh, relaxed; ΔE_f = -0.187 eV/atom; final energy = -8.92 eV/atom; magnetization = 0.505 μB per atom
1.0
0.0000 3.4214 3.4214
3.4214 0.0000 3.4214
3.4214 3.4214 0.0000
Ce U Tc Rh
1 1 1 1
Cartesian
0.0000 0.0000 0.0000
3.4214 3.4214 3.4214
1.7107 1.7107 1.7107
5.1321 5.1321 5.1321

---

3.
PBE CeTeRh, relaxed; final energy = -6.50 eV/atom; formation energy without anion corrections = -3.07 eV/f.u.; magnetization = 0.280 μB per atom
1.0
4.5055 0.0000 0.0000
-2.2528 3.9019 0.0000
0.0000 0.0000 3.9955
Ce Te Rh
1 1 1
Cartesian
0.0000 0.0000 0.0000
2.2528 1.3006 1.9457
0.0000 2.6013 2.2769

---

Copy entry 1 word for word.
PBE CeTmTcRh, relaxed; ΔE_f = -0.419 eV/atom; final energy = -7.45 eV/atom; magnetization = 0.000 μB per atom
1.0
0.0000 3.4225 3.4225
3.4225 0.0000 3.4225
3.4225 3.4225 0.0000
Ce Tm Tc Rh
1 1 1 1
Cartesian
0.0000 0.0000 0.0000
3.4225 3.4225 3.4225
5.1338 5.1338 5.1338
1.7113 1.7113 1.7113

---

Which of these has the highest final energy? CeTeRh

---

Please write out number 1 again, unchanged.
PBE CeTmTcRh, relaxed; ΔE_f = -0.419 eV/atom; final energy = -7.45 eV/atom; magnetization = 0.000 μB per atom
1.0
0.0000 3.4225 3.4225
3.4225 0.0000 3.4225
3.4225 3.4225 0.0000
Ce Tm Tc Rh
1 1 1 1
Cartesian
0.0000 0.0000 0.0000
3.4225 3.4225 3.4225
5.1338 5.1338 5.1338
1.7113 1.7113 1.7113